(1)
# Y2TmCl GGA-PBE relaxed
data_Y2TmCl
_chemical_formula_sum 'Y6 Tm3 Cl3'
_space_group_name_H-M_alt 'R -3 m'
_space_group_IT_number 166
_space_group_name_Hall '-R 3 2"'
_cell_length_a 3.6052
_cell_length_b 3.6052
_cell_length_c 29.6488
_cell_angle_alpha 90.00
_cell_angle_beta 90.00
_cell_angle_gamma 120.00
loop_
_atom_site_label
_atom_site_type_symbol
_atom_site_fract_x
_atom_site_fract_y
_atom_site_fract_z
Y1 Y 0.0000 0.0000 0.2398
Tm1 Tm 0.0000 0.0000 0.0000
Cl1 Cl 0.0000 0.0000 0.5000
# E_tot (eV/atom): -5.46
# E_form (uncorrected) (meV/atom): -653.0

=====

(2)
# NdHo5Tm5 GGA-PBE relaxed
data_NdHo5Tm5
_chemical_formula_sum 'Nd1 Ho5 Tm5'
_space_group_name_H-M_alt 'P -1'
_space_group_IT_number 2
_space_group_name_Hall '-P 1'
_cell_length_a 6.755
_cell_length_b 6.931
_cell_length_c 8.229
_cell_angle_alpha 76.49
_cell_angle_beta 77.03
_cell_angle_gamma 72.95
loop_
_atom_site_label
_atom_site_type_symbol
_atom_site_fract_x
_atom_site_fract_y
_atom_site_fract_z
Nd1 Nd 0.000 0.000 0.000
Ho1 Ho 0.000 0.500 0.000
Ho2 Ho 0.159 0.628 0.359
Ho3 Ho 0.325 0.763 0.656
Tm1 Tm 0.209 0.137 0.320
Tm2 Tm 0.353 0.250 0.715
Tm3 Tm 0.500 0.500 0.000
# Relative energy among the computed polymorphs (eV/f.u.): 0.00
# E_tot (eV/atom): -4.40
# Energy relative to the elements (meV per atom): 144